Compound: CeAlSi2Os
Source: Alexandria
Functional: PBE-GGA
Structure: optimized geometry

Results
Crystal system = tetragonal
Density of states at the Fermi level = 1.0636 states/eV/atom
Symmetry = I-4m2
V = 85.4 Å³ per cell
ΔE_f (raw) = -616 meV/atom

Cell lengths 3.985, 3.985, 6.072 Å; angles 109.16, 109.16, 90.00 degrees
Site moments in Bohr magnetons follow the coordinates.
Sites, in units of the cell vectors:
Al: 0.750 0.250 0.500  0.00
Os: 0.250 0.750 0.500  0.00
Ce: 0.000 0.000 0.000  0.30
Si: 0.388 0.388 0.776  0.00
Si: 0.612 0.612 0.224  0.00